1.
NaZnCd2F | GGA-PBE | relaxed

Output
Energy   -1.170 eV/atom
Total magnetization   0.02 μB per formula unit
DOS(E_F)   7.513 states/eV per cell

Cell and atoms, written as extended XYZ:
```
5
Lattice="5.821 0.000 0.000 0.000 5.821 0.000 0.000 0.000 5.567" Properties=species:S:1:pos:R:3 pbc="T T T"
Na 0.000 0.000 0.000
Zn 0.000 0.000 2.783
Cd 0.000 2.911 0.000
Cd 2.911 0.000 0.000
F 2.911 2.911 2.783
```

2.
NbCd3F | GGA-PBE | relaxed

Output
Energy   -2.917 eV/atom
Total magnetization   1.91 μB per formula unit
Energy relative to the lowest polymorph listed for this composition   0.0 meV/atom
DOS(E_F)   2.523 states/eV per cell

Cell and atoms, written as extended XYZ:
```
5
Lattice="4.671 0.000 0.000 0.000 4.671 0.000 0.000 0.000 4.671" Properties=species:S:1:pos:R:3 pbc="T T T"
Nb 0.000 0.000 0.000
Cd 0.000 2.336 2.336
Cd 2.336 0.000 2.336
Cd 2.336 2.336 0.000
F 2.336 2.336 2.336
```

3.
NbCd3F | GGA-PBE | relaxed

Output
Energy   -2.292 eV/atom
Total magnetization   3.93 μB per formula unit
Energy relative to the lowest polymorph listed for this composition   625.2 meV/atom
DOS(E_F)   3.764 states/eV per cell

Cell and atoms, written as extended XYZ:
```
5
Lattice="5.651 0.000 0.000 0.000 5.651 0.000 0.000 0.000 5.651" Properties=species:S:1:pos:R:3 pbc="T T T"
Nb 0.000 0.000 0.000
Cd 0.000 0.000 2.826
Cd 0.000 2.826 0.000
Cd 2.826 0.000 0.000
F 2.826 2.826 2.826
```

4.
NbCd2F | GGA-PBE | relaxed

Output
Energy   -3.545 eV/atom
Total magnetization   2.02 μB per formula unit
Energy relative to the lowest polymorph listed for this composition   0.0 meV/atom
DOS(E_F)   3.841 states/eV per cell

Cell and atoms, written as extended XYZ:
```
8
Lattice="-3.837 3.837 2.577 3.837 -3.837 2.577 3.837 3.837 -2.577" Properties=species:S:1:pos:R:3 pbc="T T T"
Nb 0.000 0.000 0.000
Nb 0.000 3.837 1.289
Cd 1.919 -1.502 1.933
Cd 2.336 1.919 0.644
Cd 1.919 5.339 -0.644
Cd 1.502 1.919 3.222
F 3.837 0.000 1.289
F 0.000 0.000 2.577
```

5.
NbCdF3 | GGA-PBE | relaxed

Output
Energy   -5.094 eV/atom
Total magnetization   2.02 μB per formula unit
Energy relative to the lowest polymorph listed for this composition   0.0 meV/atom
DOS(E_F)   3.302 states/eV per cell

Cell and atoms, written as extended XYZ:
```
5
Lattice="4.339 0.000 0.000 0.000 4.339 0.000 0.000 0.000 4.339" Properties=species:S:1:pos:R:3 pbc="T T T"
Nb 0.000 0.000 0.000
Cd 2.170 2.170 2.170
F 0.000 0.000 2.170
F 0.000 2.170 0.000
F 2.170 0.000 0.000
```

6.
NbCdF2 | GGA-PBE | relaxed

Output
Energy   -4.344 eV/atom
Total magnetization   3.00 μB per formula unit
Energy relative to the lowest polymorph listed for this composition   914.8 meV/atom
DOS(E_F)   4.924 states/eV per cell

Cell and atoms, written as extended XYZ:
```
4
Lattice="0.000 3.144 3.144 3.144 0.000 3.144 3.144 3.144 0.000" Properties=species:S:1:pos:R:3 pbc="T T T"
Nb 0.000 0.000 0.000
Cd 3.144 3.144 3.144
F 1.572 1.572 1.572
F 4.716 4.716 4.716
```

7.
NbCdF2 | GGA-PBE | relaxed

Output
Energy   -4.787 eV/atom
Total magnetization   2.23 μB per formula unit
Energy relative to the lowest polymorph listed for this composition   472.0 meV/atom
DOS(E_F)   5.547 states/eV per cell

Cell and atoms, written as extended XYZ:
```
8
Lattice="-3.729 3.729 2.966 3.729 -3.729 2.966 3.729 3.729 -2.966" Properties=species:S:1:pos:R:3 pbc="T T T"
Nb 0.000 0.000 0.000
Nb 0.000 3.729 1.483
Cd 3.729 0.000 1.483
Cd 0.000 0.000 2.966
F 0.765 1.864 0.742
F -1.864 2.963 2.225
F -0.765 5.593 0.742
F 1.864 4.494 2.225
```

8.
NbCdF3 | GGA-PBE | relaxed

Output
Energy   -4.257 eV/atom
Total magnetization   3.87 μB per formula unit
Energy relative to the lowest polymorph listed for this composition   836.8 meV/atom
DOS(E_F)   12.759 states/eV per cell

Cell and atoms, written as extended XYZ:
```
5
Lattice="4.431 0.000 0.000 0.000 4.431 0.000 0.000 0.000 4.431" Properties=species:S:1:pos:R:3 pbc="T T T"
Nb 0.000 0.000 0.000
Cd 2.216 2.216 2.216
F 0.000 2.216 2.216
F 2.216 0.000 2.216
F 2.216 2.216 0.000
```

9.
NbCdF2 | GGA-PBE | relaxed

Output
Energy   -5.259 eV/atom
Total magnetization   0.00 μB per formula unit
Energy relative to the lowest polymorph listed for this composition   0.0 meV/atom
DOS(E_F)   1.473 states/eV per cell

Cell and atoms, written as extended XYZ:
```
4
Lattice="1.442 0.833 9.269 -1.442 0.833 9.269 0.000 -1.665 9.269" Properties=species:S:1:pos:R:3 pbc="T T T"
Nb 0.000 0.000 0.000
Cd 0.000 0.000 13.903
F 0.000 0.000 10.803
F 0.000 0.000 17.003
```

10.
NbCd2F | GGA-PBE | relaxed

Output
Energy   -3.234 eV/atom
Total magnetization   0.00 μB per formula unit
Energy relative to the lowest polymorph listed for this composition   310.2 meV/atom
DOS(E_F)   3.218 states/eV per cell

Cell and atoms, written as extended XYZ:
```
4
Lattice="0.000 3.376 3.376 3.376 0.000 3.376 3.376 3.376 0.000" Properties=species:S:1:pos:R:3 pbc="T T T"
Nb 0.000 0.000 0.000
Cd 1.688 1.688 1.688
Cd 5.064 5.064 5.064
F 3.376 3.376 3.376
```

11.
Rb2NbCdF6 | GGA-PBE | relaxed

Output
Energy   -4.902 eV/atom
Total magnetization   1.00 μB per formula unit
DOS(E_F)   3.054 states/eV per cell

Cell and atoms, written as extended XYZ:
```
10
Lattice="0.000 4.930 4.930 4.930 0.000 4.930 4.930 4.930 0.000" Properties=species:S:1:pos:R:3 pbc="T T T"
Rb 2.465 2.465 2.465
Rb 7.395 7.395 7.395
Nb 0.000 0.000 0.000
Cd 4.930 4.930 4.930
F 4.930 4.930 2.014
F 4.930 2.014 4.930
F 7.846 4.930 4.930
F 2.014 4.930 4.930
F 4.930 7.846 4.930
F 4.930 4.930 7.846
```

12.
RbNb2CdF | GGA-PBE | relaxed

Output
Energy   -4.373 eV/atom
Total magnetization   1.96 μB per formula unit
DOS(E_F)   3.094 states/eV per cell

Cell and atoms, written as extended XYZ:
```
5
Lattice="4.496 0.000 0.000 0.000 4.496 0.000 0.000 0.000 5.330" Properties=species:S:1:pos:R:3 pbc="T T T"
Rb 0.000 0.000 0.000
Nb 0.000 2.248 2.665
Nb 2.248 0.000 2.665
Cd 2.248 2.248 0.000
F 0.000 0.000 2.665
```

13.
Nb2CdSeF | GGA-PBE | relaxed

Output
Energy   -5.300 eV/atom
Total magnetization   0.00 μB per formula unit
DOS(E_F)   5.406 states/eV per cell

Cell and atoms, written as extended XYZ:
```
5
Lattice="4.252 0.000 0.000 0.000 4.252 0.000 0.000 0.000 5.133" Properties=species:S:1:pos:R:3 pbc="T T T"
Nb 0.000 2.126 0.000
Nb 2.126 0.000 0.000
Cd 0.000 0.000 2.567
Se 2.126 2.126 2.567
F 2.126 2.126 0.000
```

14.
NbTlCd2F | GGA-PBE | relaxed

Output
Energy   -2.675 eV/atom
Total magnetization   3.75 μB per formula unit
DOS(E_F)   3.173 states/eV per cell

Cell and atoms, written as extended XYZ:
```
5
Lattice="5.611 0.000 0.000 0.000 5.611 0.000 0.000 0.000 4.493" Properties=species:S:1:pos:R:3 pbc="T T T"
Nb 0.000 0.000 0.000
Tl 2.806 2.806 2.247
Cd 0.000 2.806 2.247
Cd 2.806 0.000 2.247
F 2.806 2.806 0.000
```

| no. | E_form (uncorrected) (eV/atom) |
| --- | --- |
| 1 | 0.0887 |
| 2 | 0.0204 |
| 3 | 0.6455 |
| 4 | -0.1018 |
| 5 | -1.7743 |
| 6 | -0.6624 |
| 7 | -1.1051 |
| 8 | -0.9375 |
| 9 | -1.5771 |
| 10 | 0.2083 |
| 11 | -2.4872 |
| 12 | 0.4062 |
| 13 | -0.0180 |
| 14 | 0.5523 |